Compound: BaCaSb2I
Source: the Alexandria database
Functional: SCAN
Structure: PBEsol geometry

Computed properties:
The value obtained for the spin magnetization is 0.862 μB/cell. For the raw formation energy, the calculation gives -0.6199 eV per atom. The calculation puts the calculated volume at 192.7 Å³/cell.

Lattice parameters (Å, degrees): 5.6906 5.6906 5.9504 90.00 90.00 90.00
Space group P4/mmm (No. 123)
One atom of each set of equivalent atoms:
Ba 0.0000 0.0000 0.0000
Ca 0.5000 0.5000 0.5000
Sb 0.0000 0.5000 0.5000
I 0.5000 0.5000 0.0000

=====

Compound: Ba2CaIn2
Source: the Alexandria database
Functional: SCAN
Structure: PBEsol geometry

Computed properties:
The value obtained for the spin magnetization is 0.000 μB/cell. The formation enthalpy at 0 K comes out at -0.395 eV/atom. The calculation puts the calculated volume at 387.0 Å³/cell.

Lattice parameters (Å, degrees): 9.3680 9.3680 4.4100 90.00 90.00 90.00
Space group P4/mbm (No. 127)
One atom of each set of equivalent atoms:
Ba 0.1698 0.3302 0.0000
Ca 0.0000 0.0000 0.5000
In 0.1249 0.6249 0.5000

=====

Compound: Ba2CaIn
Source: the Alexandria database
Functional: SCAN
Structure: PBEsol geometry

Computed properties:
The value obtained for the spin magnetization is 0.000 μB/cell. The formation enthalpy at 0 K comes out at -0.183 eV/atom. The calculation puts the calculated volume at 332.4 Å³/cell.

Lattice parameters (Å, degrees): 5.6003 4.1017 14.4701 90.00 90.00 90.00
Space group Amm2 (No. 38)
One atom of each set of equivalent atoms:
Ba 0.0000 0.0000 0.0000
Ba 0.5000 0.0000 0.3309
Ca 0.5000 0.0000 0.6149
In 0.0000 0.0000 0.7295

=====

Compound: BaCaIn2
Source: the Alexandria database
Functional: SCAN
Structure: PBEsol geometry

Computed properties:
The value obtained for the spin magnetization is 0.000 μB/cell. The formation enthalpy at 0 K comes out at -0.488 eV/atom. The calculation puts the calculated volume at 129.1 Å³/cell.

Lattice parameters (Å, degrees): 5.6740 5.6740 4.0098 90.00 90.00 90.00
Space group P4/mmm (No. 123)
One atom of each set of equivalent atoms:
Ba 0.0000 0.0000 0.0000
Ca 0.5000 0.5000 0.0000
In 0.0000 0.5000 0.5000

=====

Compound: BaCaIn2
Source: the Alexandria database
Functional: SCAN
Structure: PBEsol geometry

Computed properties:
The value obtained for the spin magnetization is 0.000 μB/cell. The formation enthalpy at 0 K comes out at -0.530 eV/atom. The calculation puts the calculated volume at 134.1 Å³/cell.

Lattice parameters (Å, degrees): 4.1053 4.9212 6.9458 90.00 107.07 90.00
Space group Pm (No. 6)
One atom of each set of equivalent atoms:
Ba 0.0000 0.0000 0.0000
Ca 0.7049 0.5000 0.4059
In 0.2700 0.0000 0.5363
In 0.4019 0.5000 0.8023

=====

Compound: Ba2CaIn
Source: the Alexandria database
Functional: SCAN
Structure: PBEsol geometry

Computed properties:
The value obtained for the spin magnetization is 0.000 μB/cell. The formation enthalpy at 0 K comes out at -0.200 eV/atom. The calculation puts the calculated volume at 320.5 Å³/cell.

Lattice parameters (Å, degrees): 6.0659 6.0659 8.7113 90.00 90.00 90.00
Space group I4/mmm (No. 139)
One atom of each set of equivalent atoms:
Ba 0.0000 0.5000 0.2500
Ca 0.0000 0.0000 0.0000
In 0.0000 0.0000 0.5000

=====

Compound: Ba2CaIn
Source: the Alexandria database
Functional: SCAN
Structure: PBEsol geometry

Computed properties:
The value obtained for the spin magnetization is 0.091 μB/cell. The formation enthalpy at 0 K comes out at -0.284 eV/atom. The calculation puts the calculated volume at 336.1 Å³/cell.

Lattice parameters (Å, degrees): 4.1119 6.2442 13.0919 90.00 90.00 90.00
Space group Imm2 (No. 44)
One atom of each set of equivalent atoms:
Ba 0.0000 0.0000 0.0000
Ba 0.0000 0.5000 0.1978
Ca 0.0000 0.5000 0.7929
In 0.0000 0.0000 0.4791

=====

Compound: BaCaIn2
Source: the Alexandria database
Functional: SCAN
Structure: PBEsol geometry

Computed properties:
The value obtained for the spin magnetization is 0.000 μB/cell. The formation enthalpy at 0 K comes out at -0.440 eV/atom. The calculation puts the calculated volume at 257.6 Å³/cell.

Lattice parameters (Å, degrees): 3.9800 5.5979 11.5635 90.00 90.00 90.00
Space group Imm2 (No. 44)
One atom of each set of equivalent atoms:
Ba 0.0000 0.0000 0.0000
Ca 0.0000 0.5000 0.7950
In 0.0000 0.0000 0.5563
In 0.0000 0.5000 0.2422

=====

Compound: Ba2CaIn
Source: the Alexandria database
Functional: SCAN
Structure: PBEsol geometry

Computed properties:
The value obtained for the spin magnetization is 0.007 μB/cell. The formation enthalpy at 0 K comes out at -0.223 eV/atom. The calculation puts the calculated volume at 161.2 Å³/cell.

Lattice parameters (Å, degrees): 5.9090 5.9090 4.6155 90.00 90.00 90.00
Space group P4/mmm (No. 123)
One atom of each set of equivalent atoms:
Ba 0.0000 0.5000 0.0000
Ca 0.0000 0.0000 0.5000
In 0.5000 0.5000 0.5000

=====

Compound: Ba2CaIn
Source: the Alexandria database
Functional: SCAN
Structure: PBEsol geometry

Computed properties:
The value obtained for the spin magnetization is 0.637 μB/cell. The formation enthalpy at 0 K comes out at -0.276 eV/atom. The calculation puts the calculated volume at 170.1 Å³/cell.

Lattice parameters (Å, degrees): 4.0553 4.0553 10.3426 90.00 90.00 90.00
Space group P4mm (No. 99)
One atom of each set of equivalent atoms:
Ba 0.0000 0.0000 0.0000
Ba 0.5000 0.5000 0.3453
Ca 0.0000 0.0000 0.6350
In 0.5000 0.5000 0.7869

=====

Compound: BaCaIn2W
Source: the Alexandria database
Functional: SCAN
Structure: PBEsol geometry

Computed properties:
The value obtained for the spin magnetization is 4.080 μB/cell. The formation enthalpy at 0 K comes out at 1.690 eV/atom. The calculation puts the calculated volume at 182.1 Å³/cell.

Lattice parameters (Å, degrees): 5.5453 5.5453 5.9233 90.00 90.00 90.00
Space group P4/mmm (No. 123)
One atom of each set of equivalent atoms:
Ba 0.0000 0.0000 0.0000
Ca 0.0000 0.0000 0.5000
In 0.0000 0.5000 0.5000
W 0.5000 0.5000 0.0000

=====

Compound: BaCaIn2W
Source: the Alexandria database
Functional: SCAN
Structure: PBEsol geometry

Computed properties:
The value obtained for the spin magnetization is 3.499 μB/cell. The formation enthalpy at 0 K comes out at 2.154 eV/atom. The calculation puts the calculated volume at 203.8 Å³/cell.

Lattice parameters (Å, degrees): 5.8584 5.8584 5.9393 90.00 90.00 90.00
Space group P4/mmm (No. 123)
One atom of each set of equivalent atoms:
Ba 0.0000 0.0000 0.0000
Ca 0.0000 0.0000 0.5000
In 0.0000 0.5000 0.0000
W 0.5000 0.5000 0.5000

=====

Compound: BaCa3Ir
Source: the Alexandria database
Functional: SCAN
Structure: PBEsol geometry

Computed properties:
The value obtained for the spin magnetization is 0.284 μB/cell. The formation enthalpy at 0 K comes out at -0.222 eV/atom. The calculation puts the calculated volume at 175.8 Å³/cell.

Lattice parameters (Å, degrees): 5.6015 5.6015 5.6015 90.00 90.00 90.00
Space group Pm-3m (No. 221)
One atom of each set of equivalent atoms:
Ba 0.0000 0.0000 0.0000
Ca 0.0000 0.5000 0.5000
Ir 0.5000 0.5000 0.5000

=====

Compound: BaCaIr3
Source: the Alexandria database
Functional: SCAN
Structure: PBEsol geometry

Computed properties:
The value obtained for the spin magnetization is 0.987 μB/cell. The formation enthalpy at 0 K comes out at 2.078 eV/atom. The calculation puts the calculated volume at 130.2 Å³/cell.

Lattice parameters (Å, degrees): 5.0678 5.0678 5.0678 90.00 90.00 90.00
Space group Pm-3m (No. 221)
One atom of each set of equivalent atoms:
Ba 0.0000 0.0000 0.0000
Ca 0.5000 0.5000 0.5000
Ir 0.0000 0.0000 0.5000

=====

Compound: Ba2CaIrO6
Source: the Alexandria database
Functional: SCAN
Structure: PBEsol geometry

Computed properties:
The value obtained for the spin magnetization is 12.017 μB/cell. For the raw formation energy, the calculation gives -2.3744 eV per atom. The calculation puts the calculated volume at 580.8 Å³/cell.

Lattice parameters (Å, degrees): 8.3432 8.3432 8.3432 90.00 90.00 90.00
Space group Fm-3m (No. 225)
One atom of each set of equivalent atoms:
Ba 0.2500 0.2500 0.2500
Ca 0.0000 0.0000 0.0000
Ir 0.0000 0.0000 0.5000
O 0.0000 0.0000 0.2685

=====

Compound: Ba6Ca2Ir3RuO18
Source: the Alexandria database
Functional: SCAN
Structure: PBEsol geometry

Computed properties:
The value obtained for the spin magnetization is 0.643 μB/cell. For the raw formation energy, the calculation gives -2.2277 eV per atom. The calculation puts the calculated volume at 433.3 Å³/cell.

Lattice parameters (Å, degrees): 5.8752 5.8752 14.4936 90.00 90.00 120.00
Space group P3m1 (No. 156)
One atom of each set of equivalent atoms:
Ba 0.0000 0.0000 0.0000
Ba 0.0000 0.0000 0.3227
Ba 0.3333 0.6667 0.1625
Ba 0.3333 0.6667 0.6608
Ba 0.6667 0.3333 0.4983
Ba 0.6667 0.3333 0.8214
Ca 0.3333 0.6667 0.4111
Ca 0.3333 0.6667 0.9114
Ir 0.0000 0.0000 0.5750
Ir 0.0000 0.0000 0.7485
Ir 0.6667 0.3333 0.2465
Ru 0.6667 0.3333 0.0734
O 0.1550 0.3100 0.4992
O 0.1548 0.3096 0.8248
O 0.3145 0.1572 0.6618
O 0.3538 0.1769 0.1603
O 0.5114 0.0228 0.3221
O 0.5126 0.0251 0.0016

=====

Compound: BaCaTcIr2
Source: the Alexandria database
Functional: SCAN
Structure: PBEsol geometry

Computed properties:
The value obtained for the spin magnetization is 3.961 μB/cell. The formation enthalpy at 0 K comes out at 1.693 eV/atom. The calculation puts the calculated volume at 119.1 Å³/cell.

Lattice parameters (Å, degrees): 4.9991 4.9991 4.7670 90.00 90.00 90.00
Space group P4/mmm (No. 123)
One atom of each set of equivalent atoms:
Ba 0.0000 0.0000 0.0000
Ca 0.5000 0.5000 0.5000
Tc 0.5000 0.5000 0.0000
Ir 0.0000 0.5000 0.5000

=====

Compound: KBa3Ca
Source: the Alexandria database
Functional: SCAN
Structure: PBEsol geometry

Computed properties:
The value obtained for the spin magnetization is 3.630 μB/cell. The formation enthalpy at 0 K comes out at 0.520 eV/atom. The calculation puts the calculated volume at 306.4 Å³/cell.

Lattice parameters (Å, degrees): 6.7417 6.7417 6.7417 90.00 90.00 90.00
Space group Pm-3m (No. 221)
One atom of each set of equivalent atoms:
K 0.0000 0.0000 0.0000
Ba 0.0000 0.0000 0.5000
Ca 0.5000 0.5000 0.5000

=====

Compound: KBa2Ca
Source: the Alexandria database
Functional: SCAN
Structure: PBEsol geometry

Computed properties:
The value obtained for the spin magnetization is 0.480 μB/cell. The formation enthalpy at 0 K comes out at 0.080 eV/atom. The calculation puts the calculated volume at 441.1 Å³/cell.

Lattice parameters (Å, degrees): 4.7231 6.7184 13.9018 90.00 90.00 90.00
Space group Cmmm (No. 65)
One atom of each set of equivalent atoms:
K 0.0000 0.0000 0.0000
Ba 0.0000 0.5000 0.2706
Ca 0.0000 0.0000 0.5000

=====

Compound: KBa2Ca
Source: the Alexandria database
Functional: SCAN
Structure: PBEsol geometry

Computed properties:
The value obtained for the spin magnetization is 0.265 μB/cell. The formation enthalpy at 0 K comes out at 0.107 eV/atom. The calculation puts the calculated volume at 662.7 Å³/cell.

Lattice parameters (Å, degrees): 4.2208 4.2208 42.9509 90.00 90.00 120.00
Space group R3m (No. 160, hexagonal axes)
One atom of each set of equivalent atoms:
K 0.0000 0.0000 0.0000
Ba 0.0000 0.0000 0.5070
Ba 0.0000 0.0000 0.7562
Ca 0.0000 0.0000 0.2505

=====

Compound: KBa2Ca
Source: the Alexandria database
Functional: SCAN
Structure: PBEsol geometry

Computed properties:
The value obtained for the spin magnetization is 0.126 μB/cell. The formation enthalpy at 0 K comes out at 0.111 eV/atom. The calculation puts the calculated volume at 220.6 Å³/cell.

Lattice parameters (Å, degrees): 4.1178 6.8729 7.8822 90.00 98.47 90.00
Space group Pm (No. 6)
One atom of each set of equivalent atoms:
K 0.0000 0.0000 0.0000
Ba 0.4699 0.0000 0.5131
Ba 0.7108 0.5000 0.2487
Ca 0.1600 0.5000 0.7317

=====

Compound: KBa2Ca
Source: the Alexandria database
Functional: SCAN
Structure: PBEsol geometry

Computed properties:
The value obtained for the spin magnetization is 4.115 μB/cell. The formation enthalpy at 0 K comes out at 0.127 eV/atom. The calculation puts the calculated volume at 903.3 Å³/cell.

Lattice parameters (Å, degrees): 9.6665 9.6665 9.6665 90.00 90.00 90.00
Space group Fm-3m (No. 225)
One atom of each set of equivalent atoms:
K 0.0000 0.0000 0.0000
Ba 0.2500 0.2500 0.2500
Ca 0.0000 0.0000 0.5000

=====

Compound: KBa2Ca
Source: the Alexandria database
Functional: SCAN
Structure: PBEsol geometry

Computed properties:
The value obtained for the spin magnetization is 0.319 μB/cell. The formation enthalpy at 0 K comes out at 0.080 eV/atom. The calculation puts the calculated volume at 227.2 Å³/cell.

Lattice parameters (Å, degrees): 4.2389 4.2389 12.6423 90.00 90.00 90.00
Space group P4/mmm (No. 123)
One atom of each set of equivalent atoms:
K 0.0000 0.0000 0.0000
Ba 0.5000 0.5000 0.2755
Ca 0.0000 0.0000 0.5000

=====

Compound: KBa2Ca
Source: the Alexandria database
Functional: SCAN
Structure: PBEsol geometry

Computed properties:
The value obtained for the spin magnetization is 0.671 μB/cell. The formation enthalpy at 0 K comes out at 0.111 eV/atom. The calculation puts the calculated volume at 223.4 Å³/cell.

Lattice parameters (Å, degrees): 6.9982 6.9982 4.5613 90.00 90.00 90.00
Space group P4/mmm (No. 123)
One atom of each set of equivalent atoms:
K 0.0000 0.0000 0.0000
Ba 0.0000 0.5000 0.5000
Ca 0.5000 0.5000 0.0000

=====

Compound: KBa2Ca
Source: the Alexandria database
Functional: SCAN
Structure: PBEsol geometry

Computed properties:
The value obtained for the spin magnetization is 0.446 μB/cell. The formation enthalpy at 0 K comes out at 0.093 eV/atom. The calculation puts the calculated volume at 440.7 Å³/cell.

Lattice parameters (Å, degrees): 4.7540 6.6996 13.8362 90.00 90.00 90.00
Space group Cmm2 (No. 35)
One atom of each set of equivalent atoms:
K 0.0000 0.0000 0.0000
Ba 0.0000 0.0000 0.4772
Ba 0.0000 0.5000 0.7286
Ca 0.0000 0.5000 0.2490

=====

Compound: KBa2Ca
Source: the Alexandria database
Functional: SCAN
Structure: PBEsol geometry

Computed properties:
The value obtained for the spin magnetization is 0.503 μB/cell. The formation enthalpy at 0 K comes out at 0.086 eV/atom. The calculation puts the calculated volume at 663.5 Å³/cell.

Lattice parameters (Å, degrees): 4.2277 4.2277 42.8611 90.00 90.00 120.00
Space group R-3m (No. 166, hexagonal axes)
One atom of each set of equivalent atoms:
K 0.0000 0.0000 0.0000
Ba 0.0000 0.0000 0.2433
Ca 0.0000 0.0000 0.5000

=====

Compound: KBaCa4
Source: the Alexandria database
Functional: SCAN
Structure: PBEsol geometry

Computed properties:
The value obtained for the spin magnetization is 1.377 μB/cell. The formation enthalpy at 0 K comes out at 0.102 eV/atom. The calculation puts the calculated volume at 1186.6 Å³/cell.

Lattice parameters (Å, degrees): 10.5869 10.5869 10.5869 90.00 90.00 90.00
Space group F-43m (No. 216)
One atom of each set of equivalent atoms:
K 0.0000 0.0000 0.0000
Ba 0.2500 0.2500 0.7500
Ca 0.1245 0.1245 0.3755

=====

Compound: Ba2CaLa
Source: the Alexandria database
Functional: SCAN
Structure: PBEsol geometry

Computed properties:
The value obtained for the spin magnetization is 0.998 μB/cell. The formation enthalpy at 0 K comes out at 0.156 eV/atom. The calculation puts the calculated volume at 182.0 Å³/cell.

Lattice parameters (Å, degrees): 3.9392 5.7187 8.0812 90.00 90.00 90.00
Space group Pmm2 (No. 25)
One atom of each set of equivalent atoms:
Ba 0.0000 0.0000 0.0000
Ba 0.5000 0.5000 0.2825
Ca 0.0000 0.0000 0.5385
La 0.5000 0.5000 0.7644